i:
VASP calculation (PBE) on an optimized crystal structure of Er4AgRh.

Structure (extended XYZ):
```
6
Lattice="3.439 -3.439 0.000 3.439 3.439 0.000 -0.010 0.000 6.925" Properties=species:S:1:pos:R:3 pbc="T T T"
Er 5.154 -1.721 1.635
Er 1.714 1.721 5.290
Er 5.154 1.721 1.635
Er 1.714 -1.721 5.290
Ag -0.005 0.000 3.463
Rh 3.439 0.000 0.000
```

Computed properties:
- space-group type = No. 12
- density of states at the Fermi level (states/eV per atom) = 1.13
- crystal system = monoclinic

ii:
VASP calculation (PBE) on an optimized crystal structure of Er4AgRh.

Structure (extended XYZ):
```
24
Lattice="0.000 6.672 6.672 6.672 0.000 6.672 6.672 6.672 0.000" Properties=species:S:1:pos:R:3 pbc="T T T"
Er 3.336 3.336 0.826
Er 3.336 0.826 3.336
Er 5.846 3.336 3.336
Er 6.672 6.672 2.474
Er 6.672 2.474 6.672
Er 10.870 6.672 6.672
Er 8.050 5.294 5.294
Er 0.826 3.336 3.336
Er 3.336 5.846 3.336
Er 3.336 3.336 5.846
Er 5.294 8.050 5.294
Er 5.294 5.294 8.050
Er 8.050 8.050 8.050
Er 2.474 6.672 6.672
Er 6.672 10.870 6.672
Er 6.672 6.672 10.870
Ag 11.108 8.908 8.908
Ag 8.908 11.108 8.908
Ag 8.908 8.908 11.108
Ag 11.108 11.108 11.108
Rh 5.253 5.253 5.253
Rh 8.091 8.091 5.253
Rh 8.091 5.253 8.091
Rh 5.253 8.091 8.091
```

Computed properties:
- space-group type = No. 216
- density of states at the Fermi level (states/eV per atom) = 1.00
- crystal system = cubic

Energy above the most stable structure, in eV/atom: i 0.201; ii 0.000

i:
VASP calculation (PBE) on an optimized crystal structure of Er3Ag2Rh.

Structure (extended XYZ):
```
6
Lattice="3.523 0.000 0.000 0.000 3.523 0.000 0.000 0.000 10.661" Properties=species:S:1:pos:R:3 pbc="T T T"
Er 0.000 0.000 0.000
Er 0.000 0.000 3.711
Er 0.000 0.000 6.950
Ag 1.762 1.762 1.836
Ag 1.762 1.762 8.825
Rh 1.762 1.762 5.330
```

Computed properties:
- space-group type = No. 123
- density of states at the Fermi level (states/eV per atom) = 0.76
- crystal system = tetragonal

ii:
VASP calculation (PBE) on an optimized crystal structure of Er3Ag2Rh.

Structure (extended XYZ):
```
6
Lattice="4.977 0.000 0.000 -2.488 4.310 0.000 0.000 0.000 6.150" Properties=species:S:1:pos:R:3 pbc="T T T"
Er 0.000 0.000 0.000
Er 0.000 2.873 3.994
Er 2.488 1.437 2.156
Ag 0.000 2.873 0.950
Ag 2.488 1.437 5.199
Rh 0.000 0.000 3.075
```

Computed properties:
- space-group type = No. 164
- density of states at the Fermi level (states/eV per atom) = 0.80
- crystal system = trigonal

Energy above the most stable structure, in eV/atom: i 0.000; ii 0.008

i:
VASP calculation (PBE) on an optimized crystal structure of SmErAgRh.

Structure (extended XYZ):
```
4
Lattice="0.000 3.548 3.548 3.548 0.000 3.548 3.548 3.548 0.000" Properties=species:S:1:pos:R:3 pbc="T T T"
Sm 0.000 0.000 0.000
Er 3.548 3.548 3.548
Ag 1.774 1.774 1.774
Rh 5.323 5.323 5.323
```

Computed properties:
- space-group type = No. 216
- density of states at the Fermi level (states/eV per atom) = 0.91
- crystal system = cubic

ii:
VASP calculation (PBE) on an optimized crystal structure of SmErAgRh.

Structure (extended XYZ):
```
4
Lattice="3.526 0.000 0.000 0.000 3.526 0.000 0.000 0.000 7.233" Properties=species:S:1:pos:R:3 pbc="T T T"
Sm 0.000 0.000 0.000
Er 0.000 0.000 3.917
Ag 1.763 1.763 2.072
Rh 1.763 1.763 5.494
```

Computed properties:
- space-group type = No. 99
- density of states at the Fermi level (states/eV per atom) = 1.02
- crystal system = tetragonal

Energy above the most stable structure, in eV/atom: i 0.027; ii 0.000